[1]
First-principles (GGA-PBE) data for a geometry-optimized CuSi2Os structure, as listed in Alexandria.

POSCAR file:
```
CuSi2Os
1.0
5.300 0.000 0.000
0.000 8.034 0.000
-1.292 0.000 2.669
Cu Si Os
2 4 2
direct
0.000 0.000 0.000
0.500 0.500 0.000
0.250 0.250 0.000
0.250 0.750 0.000
0.750 0.250 0.000
0.750 0.750 0.000
0.000 0.500 0.000
0.500 0.000 0.000
```

- calculated volume (Å³/atom) = 14.2
- ΔE to the lowest computed polymorph (meV per atom) = 282
- formation energy from raw total energies (meV/atom) = 193
- total magnetic moment (Bohr magnetons per cell) = 0.00

=====

[2]
First-principles (GGA-PBE) data for a geometry-optimized CuSiOs2 structure, as listed in Alexandria.

POSCAR file:
```
CuSiOs2
1.0
2.771 0.000 0.000
0.000 4.220 0.000
0.000 0.000 4.684
Cu Si Os
1 1 2
direct
0.000 0.000 0.000
0.500 0.000 0.500
0.000 0.500 0.500
0.500 0.500 0.000
```

- calculated volume (Å³/atom) = 13.7
- formation energy from raw total energies (meV/atom) = 317
- total magnetic moment (Bohr magnetons per cell) = 0.00

=====

[3]
First-principles (GGA-PBE) data for a geometry-optimized CuSi2Os structure, as listed in Alexandria.

POSCAR file:
```
CuSi2Os
1.0
3.261 0.000 0.000
0.000 3.261 0.000
0.000 0.000 4.955
Cu Si Os
1 2 1
direct
0.000 0.000 0.000
0.000 0.000 0.522
0.500 0.500 0.818
0.500 0.500 0.321
```

- calculated volume (Å³/atom) = 13.2
- ΔE to the lowest computed polymorph (meV per atom) = 0
- formation energy from raw total energies (meV/atom) = -88
- total magnetic moment (Bohr magnetons per cell) = 0.26

=====

[4]
First-principles (GGA-PBE) data for a geometry-optimized Cu2SiOs2 structure, as listed in Alexandria.

POSCAR file:
```
Cu2SiOs2
1.0
3.532 0.000 0.000
0.000 3.532 0.000
0.000 0.000 12.510
Cu Si Os
4 2 4
direct
0.000 0.000 0.094
0.000 0.000 0.906
0.500 0.500 0.406
0.500 0.500 0.594
0.000 0.000 0.500
0.500 0.500 0.000
0.000 0.500 0.250
0.000 0.500 0.750
0.500 0.000 0.250
0.500 0.000 0.750
```

- calculated volume (Å³/atom) = 15.6
- ΔE to the lowest computed polymorph (meV per atom) = 328
- formation energy from raw total energies (meV/atom) = 837
- total magnetic moment (Bohr magnetons per cell) = 0.00